Model one:
Here is CaNb3Ni after structural relaxation from Alexandria. Energies are from PBE.

Calculated values
- Spin magnetization: 0.000 μB per formula unit
- D(E_F): 9.78 states/eV/f.u.

Unit cell a=4.7749 b=4.7749 c=4.7749 alpha=90.00 beta=90.00 gamma=90.00
Sites, in units of the cell vectors:
Ca: 0.0000 0.0000 0.0000
Nb: 0.0000 0.5000 0.5000
Nb: 0.5000 0.0000 0.5000
Nb: 0.5000 0.5000 0.0000
Ni: 0.5000 0.5000 0.5000

---

Model two:
Here is CaNb3Ni after structural relaxation from Alexandria. Energies are from PBE.

Calculated values
- Spin magnetization: 0.000 μB per formula unit
- D(E_F): 12.57 states/eV/f.u.

Unit cell a=4.6720 b=4.6720 c=4.6720 alpha=90.00 beta=90.00 gamma=90.00
Sites, in units of the cell vectors:
Ca: 0.0000 0.0000 0.0000
Nb: 0.0000 0.0000 0.5000
Nb: 0.0000 0.5000 0.0000
Nb: 0.5000 0.0000 0.0000
Ni: 0.5000 0.5000 0.5000

---

The most stable of them is model one.

---

Model one:
Here is CaNbNi3 after structural relaxation from Alexandria. Energies are from PBE.

Calculated values
- Spin magnetization: 3.111 μB per formula unit
- D(E_F): 3.82 states/eV/f.u.

Unit cell a=4.4428 b=4.4428 c=4.4428 alpha=90.00 beta=90.00 gamma=90.00
Sites, in units of the cell vectors:
Ca: 0.0000 0.0000 0.0000
Nb: 0.5000 0.5000 0.5000
Ni: 0.0000 0.0000 0.5000
Ni: 0.0000 0.5000 0.0000
Ni: 0.5000 0.0000 0.0000

---

Model two:
Here is CaNbNi3 after structural relaxation from Alexandria. Energies are from PBE.

Calculated values
- Spin magnetization: 0.000 μB per formula unit
- D(E_F): 4.93 states/eV/f.u.

Unit cell a=4.6380 b=4.6380 c=4.6380 alpha=90.00 beta=90.00 gamma=90.00
Sites, in units of the cell vectors:
Ca: 0.0000 0.0000 0.0000
Nb: 0.5000 0.5000 0.5000
Ni: 0.0000 0.5000 0.5000
Ni: 0.5000 0.0000 0.5000
Ni: 0.5000 0.5000 0.0000

---

The most stable of them is model two.

---

Model one:
Here is CaNb2Ni2 after structural relaxation from Alexandria. Energies are from PBE.

Calculated values
- Spin magnetization: 0.000 μB per formula unit
- D(E_F): 8.05 states/eV/f.u.

Unit cell a=7.7041 b=7.7041 c=2.8840 alpha=90.00 beta=90.00 gamma=90.00
Sites, in units of the cell vectors:
Ca: 0.0000 0.0000 0.0000
Ca: 0.5000 0.5000 0.0000
Nb: 0.1602 0.3398 0.5000
Nb: 0.3398 0.8398 0.5000
Nb: 0.6602 0.1602 0.5000
Nb: 0.8398 0.6602 0.5000
Ni: 0.1260 0.6260 0.0000
Ni: 0.3740 0.1260 0.0000
Ni: 0.6260 0.8740 0.0000
Ni: 0.8740 0.3740 0.0000

---

Model two:
Here is CaNb2Ni2 after structural relaxation from Alexandria. Energies are from PBE.

Calculated values
- Spin magnetization: 0.000 μB per formula unit
- D(E_F): 5.45 states/eV/f.u.

Unit cell a=4.0678 b=4.0678 c=11.2281 alpha=90.00 beta=90.00 gamma=90.00
Sites, in units of the cell vectors:
Ca: 0.0000 0.0000 0.0000
Ca: 0.5000 0.5000 0.5000
Nb: 0.0000 0.5000 0.2500
Nb: 0.0000 0.5000 0.7500
Nb: 0.5000 0.0000 0.2500
Nb: 0.5000 0.0000 0.7500
Ni: 0.0000 0.0000 0.3943
Ni: 0.0000 0.0000 0.6057
Ni: 0.5000 0.5000 0.1057
Ni: 0.5000 0.5000 0.8943

---

Model three:
Here is CaNb2Ni2 after structural relaxation from Alexandria. Energies are from PBE.

Calculated values
- Spin magnetization: 0.000 μB per formula unit
- D(E_F): 4.12 states/eV/f.u.

Unit cell a=7.9110 b=7.9110 c=2.7274 alpha=90.00 beta=90.00 gamma=90.00
Sites, in units of the cell vectors:
Ca: 0.0000 0.0000 0.0000
Ca: 0.5000 0.5000 0.0000
Nb: 0.1228 0.3772 0.0000
Nb: 0.3772 0.8772 0.0000
Nb: 0.6228 0.1228 0.0000
Nb: 0.8772 0.6228 0.0000
Ni: 0.1719 0.6719 0.5000
Ni: 0.3281 0.1719 0.5000
Ni: 0.6719 0.8281 0.5000
Ni: 0.8281 0.3281 0.5000

---

The most stable of them is model two.